LiBOsW: optimized geometry, GGA-PBE.

## Properties
The spin magnetization is 0.0 μB/cell. The energy above the most stable polymorph in this dataset is 0.228 eV/atom.

The structure in CIF format:
```
data_LiBOsW
_chemical_formula_sum 'Li4 B4 Os4 W4'
_symmetry_space_group_name_H-M 'F -4 3 m'
_symmetry_Int_Tables_number 216
_symmetry_space_group_name_Hall 'F -4 2 3'
_cell_length_a 5.639
_cell_length_b 5.639
_cell_length_c 5.639
_cell_angle_alpha 90.00
_cell_angle_beta 90.00
_cell_angle_gamma 90.00
loop_
_atom_site_label
_atom_site_fract_x
_atom_site_fract_y
_atom_site_fract_z
_atom_site_occupancy
Li1 0.000 0.000 0.000 1
B1 0.000 0.000 0.500 1
Os1 0.250 0.250 0.750 1
W1 0.250 0.250 0.250 1
```